Compound: MgZrOs2
Source: Alexandria via LeMat-Bulk
Functional: PBE-GGA
Structure: optimized geometry

Unit cell a=3.2736 b=3.2736 c=6.1941 alpha=90.00 beta=90.00 gamma=90.00
With the nearest neighbours (Å) after each atom.
Space group P4/mmm (No. 123)
Asymmetric unit:
1 Mg 0.0000 0.0000 0.0000  8 Os 2.75
2 Zr 0.0000 0.0000 0.5000  8 Os 2.82, 2 Mg 3.10
3 Os 0.5000 0.5000 0.2399  4 Mg 2.75, 4 Zr 2.82, 1 Os 2.97

Output
magnetic moment	0.000	μB/f.u.
total DFT energy (no corrections)	-8.1777	eV per atom